Arrangement P

DFT (PBE) results for a relaxed Li2As2Pd crystal.

- DOS at the Fermi energy (states/eV/f.u.) = 3.2
- SG = No. 71

Cell: 5.2545 5.2545 5.2545 Å, 134.26 117.07 81.20°
Fractional coordinates of all 5 atoms:
Li  0.2056  0.2056  0.0000
Li  0.7944  0.7944  0.0000
As  0.2310  0.5000  0.7310
As  0.7690  0.5000  0.2690
Pd  0.5000  0.0000  0.5000

=====

Arrangement Q

DFT (PBE) results for a relaxed Li2As2Pd crystal.

- DOS at the Fermi energy (states/eV/f.u.) = 1.9
- SG = No. 127

Cell: 6.4256 6.4256 4.1624 Å, 90.00 90.00 90.00°
Fractional coordinates of all 10 atoms:
Li  0.1680  0.3320  0.0000
Li  0.3320  0.8320  0.0000
Li  0.6680  0.1680  0.0000
Li  0.8320  0.6680  0.0000
As  0.1371  0.6371  0.5000
As  0.3629  0.1371  0.5000
As  0.6371  0.8629  0.5000
As  0.8629  0.3629  0.5000
Pd  0.0000  0.0000  0.5000
Pd  0.5000  0.5000  0.5000

=====

Structures ranked by computed energy, the most stable listed first: arrangement Q, arrangement P.